The following is a DFT calculation (PBE) of a geometry-optimized Sc2AgGe2 structure.

Cell: 8.0694 8.0694 8.0694 Å, 153.50 153.50 37.82°
Positions (direct):
Sc (0.1070, 0.1070, 0.0000)
Sc (0.8930, 0.8930, 0.0000)
Ag (0.5000, 0.5000, 0.0000)
Ge (0.2500, 0.7500, 0.5000)
Ge (0.7500, 0.2500, 0.5000)

As for the space group: I4/mmm (139). Its formation energy is -0.25 eV/atom.